## BaAl4Pd2 (GGA-PBE)

Data for a relaxed BaAl4Pd2 crystal.

Lattice parameters (Å, degrees): 8.0755 8.0755 4.2121 90.00 90.00 90.00
With the nearest neighbours (Å) after each atom.
Sites, in units of the cell vectors:
Ba1 0.0000 0.0000 0.0000  6 Pd 3.15-3.31
Ba2 0.5000 0.5000 0.5000  6 Pd 3.15-3.31
Al1 0.0805 0.3442 0.5000  3 Pd 2.64-2.69, 5 Al 2.83-2.91
Al2 0.1558 0.5805 0.0000  3 Pd 2.64-2.69, 5 Al 2.83-2.91
Al3 0.3442 0.0805 0.5000  3 Pd 2.64-2.69, 5 Al 2.83-2.91
Al4 0.4195 0.8442 0.0000  3 Pd 2.64-2.69, 5 Al 2.83-2.91
Al5 0.5805 0.1558 0.0000  3 Pd 2.64-2.69, 5 Al 2.83-2.91
Al6 0.6558 0.9195 0.5000  3 Pd 2.64-2.69, 5 Al 2.83-2.91
Al7 0.8442 0.4195 0.0000  3 Pd 2.64-2.69, 5 Al 2.83-2.91
Al8 0.9195 0.6558 0.5000  3 Pd 2.64-2.69, 5 Al 2.83-2.91
Pd1 0.2240 0.7760 0.5000  6 Al 2.64-2.69
Pd2 0.2760 0.2760 0.0000  6 Al 2.64-2.69
Pd3 0.7240 0.7240 0.0000  6 Al 2.64-2.69
Pd4 0.7760 0.2240 0.5000  6 Al 2.64-2.69

Calculated values
DFT formation energy: -0.54 eV per atom
Space group: P4_2/mnm
Total magnetic moment: 0.000 μB/atom

## Sr2InBiO6 (GGA-PBE)

Data for a relaxed Sr2InBiO6 crystal.

Lattice parameters (Å, degrees): 5.9815 5.9815 5.9815 60.00 60.00 60.00
With the nearest neighbours (Å) after each atom.
Sites, in units of the cell vectors:
Sr1 0.2500 0.2500 0.2500  12 O 2.99
Sr2 0.7500 0.7500 0.7500  12 O 2.99
In1 0.0000 0.0000 0.0000  6 O 2.13
Bi1 0.5000 0.5000 0.5000  6 O 2.10
O1 0.2516 0.2516 0.7484  1 Bi 2.10, 1 In 2.13
O2 0.2516 0.7484 0.2516  1 Bi 2.10, 1 In 2.13
O3 0.2516 0.7484 0.7484  1 Bi 2.10, 1 In 2.13
O4 0.7484 0.2516 0.2516  1 Bi 2.10, 1 In 2.13
O5 0.7484 0.2516 0.7484  1 Bi 2.10, 1 In 2.13
O6 0.7484 0.7484 0.2516  1 Bi 2.10, 1 In 2.13

Calculated values
Formation energy without anion corrections: -18.200 eV/f.u.
Space group: Fm-3m
Total magnetic moment: 0.000 μB/atom

N(E_F) readings, ordered: 8.46, 0.93 states/eV/cell